Entry 1:
Density functional theory data (PBE-GGA) for a relaxed Pr8PdRh3Br4 crystal.

- Uncorrected formation energy: -1.055 eV per atom
- Calculated volume: 29.761 Å³ per atom
- Total magnetization: 0.00 μB per cell

a b c (Å): 8.3555 8.3555 9.2401
angles (deg): 116.94 116.94 60.01
Last column: nearest neighbours and their distance in Å.
Fractional positions:
Pr 0.2254 0.7364 0.6975  2 Rh 2.85, 1 Pd 2.91
Pr 0.2328 0.2328 0.6977  3 Rh 2.87
Pr 0.2637 0.2637 0.3025  2 Rh 2.85, 1 Pd 2.92
Pr 0.2636 0.7746 0.3025  2 Rh 2.85, 1 Pd 2.91
Pr 0.7364 0.2254 0.6975  2 Rh 2.85, 1 Pd 2.91
Pr 0.7363 0.7363 0.6975  2 Rh 2.85, 1 Pd 2.92
Pr 0.7672 0.7672 0.3023  3 Rh 2.87
Pr 0.7746 0.2636 0.3025  2 Rh 2.85, 1 Pd 2.91
Pd 0.5000 0.5000 0.5000  6 Pr 2.91-2.92
Rh 0.0000 0.0000 0.5000  6 Pr 2.85-2.87
Rh 0.0000 0.5000 0.5000  6 Pr 2.85-2.87
Rh 0.5000 0.0000 0.5000  6 Pr 2.85-2.87
Br 0.0000 0.0000 0.0000  6 Pr 3.35
Br 0.0000 0.5000 0.0000  6 Pr 3.39-3.41
Br 0.5000 0.0000 0.0000  6 Pr 3.39-3.41
Br 0.5000 0.5000 0.0000  6 Pr 3.39-3.41

---

Entry 2:
Density functional theory data (PBE-GGA) for a relaxed MgTc crystal.

- Formation enthalpy at 0 K: 0.498 eV per atom
- Calculated volume: 20.959 Å³ per atom
- Energy relative to the lowest polymorph listed for this composition: 0.5223 eV per atom
- Total magnetization: 0.00 μB per cell

a b c (Å): 3.4673 3.4673 6.9736
angles (deg): 90.00 90.00 90.00
Last column: nearest neighbours and their distance in Å.
Fractional positions:
Mg 0.2500 0.2500 0.1604  4 Tc 2.94
Mg 0.7500 0.7500 0.8396  4 Tc 2.94
Tc 0.2500 0.7500 0.5000  4 Tc 2.45
Tc 0.7500 0.2500 0.5000  4 Tc 2.45

---

Repeat the second record exactly.
Density functional theory data (PBE-GGA) for a relaxed MgTc crystal.

- Formation enthalpy at 0 K: 0.498 eV per atom
- Calculated volume: 20.959 Å³ per atom
- Energy relative to the lowest polymorph listed for this composition: 0.5223 eV per atom
- Total magnetization: 0.00 μB per cell

a b c (Å): 3.4673 3.4673 6.9736
angles (deg): 90.00 90.00 90.00
Last column: nearest neighbours and their distance in Å.
Fractional positions:
Mg 0.2500 0.2500 0.1604  4 Tc 2.94
Mg 0.7500 0.7500 0.8396  4 Tc 2.94
Tc 0.2500 0.7500 0.5000  4 Tc 2.45
Tc 0.7500 0.2500 0.5000  4 Tc 2.45

---

What is the total magnetization in the first record?
0.00 μB per cell

---

calculated volume of number 1 (Pr8PdRh3Br4)?
29.761 Å³ per atom

---

Which of these has the highest calculated volume?
Pr8PdRh3Br4